A geometry-optimized VICl structure, computed with GGA-PBE.

The structure in POSCAR format:
```
VICl
1.0
-3.853 -0.497 -0.314
2.287 -0.482 -3.119
0.717 -6.532 1.536
I V Cl
1 1 1
Direct
0.333 0.667 0.558
0.667 0.333 0.313
0.000 0.000 0.129
```

Raw formation energy   -0.736 eV/atom
Raw total energy   -4.907 eV per atom
Energy relative to the lowest polymorph listed for this composition   32 meV per atom